Record 1
A relaxed Sr2CeNiO6 crystal, computed with PBEsol.

Total DFT energy (no corrections), eV per atom: -7.213
ΔE_f (raw), eV per atom: -2.42

Cell lengths 5.674, 5.674, 5.674 Å; angles 60.00, 60.00, 60.00 degrees
Fractional positions:
Sr1 0.750 0.750 0.750
Sr2 0.250 0.250 0.250
O1 0.231 0.769 0.231
O2 0.231 0.769 0.769
O3 0.769 0.231 0.231
O4 0.769 0.769 0.231
O5 0.769 0.231 0.769
O6 0.231 0.231 0.769
Ce1 0.500 0.500 0.500
Ni1 0.000 0.000 0.000


Record 2
A relaxed CeNi2P2 crystal, computed with PBEsol.

Total DFT energy (no corrections), eV per atom: -7.169

Cell lengths 3.879, 3.879, 5.419 Å; angles 110.98, 110.98, 89.99 degrees
Fractional positions:
Ni1 0.750 0.250 0.500
Ni2 0.250 0.750 0.500
Ce1 0.000 0.000 0.000
P1 0.375 0.375 0.750
P2 0.625 0.625 0.250


Record 3
A relaxed Ce6Ni6P17 crystal, computed with PBEsol.

Total DFT energy (no corrections), eV per atom: -6.928

Cell lengths 8.554, 8.554, 8.554 Å; angles 109.47, 109.47, 109.47 degrees
Last column: magnetic moment on the atom in μB.
Fractional positions:
Ce1 0.000 0.708 0.708  0.60
Ce2 0.708 0.000 0.708  0.60
Ce3 0.708 0.708 0.000  0.60
Ce4 0.000 0.292 0.292  0.60
Ce5 0.292 0.000 0.292  0.60
Ce6 0.292 0.292 0.000  0.60
Ni1 0.500 0.750 0.250  -0.01
Ni2 0.250 0.500 0.750  -0.01
Ni3 0.750 0.250 0.500  -0.01
Ni4 0.750 0.500 0.250  -0.01
Ni5 0.500 0.250 0.750  -0.01
Ni6 0.250 0.750 0.500  -0.01
P1 0.369 0.369 0.597  0.00
P2 0.597 0.369 0.369  0.00
P3 0.369 0.597 0.369  0.00
P4 0.772 0.772 0.403  0.00
P5 0.000 0.228 0.631  0.00
P6 0.228 0.000 0.631  0.00
P7 0.228 0.631 0.000  0.00
P8 0.000 0.631 0.228  0.00
P9 0.772 0.403 0.772  0.00
P10 0.631 0.228 0.000  0.00
P11 0.403 0.772 0.772  0.00
P12 0.631 0.000 0.228  0.00
P13 0.592 0.592 0.592  0.00
P14 0.000 0.000 0.408  0.00
P15 0.000 0.408 0.000  0.00
P16 0.408 0.000 0.000  0.00
P17 0.000 0.000 0.000  -0.03